Arrangement P

{"formula": "Ho2NiI", "functional": "PBE", "state": "relaxed", "cell": [[-3.535, -1.873, -0.085], [-1.594, -1.420, 3.385], [-5.351, 5.721, 2.245]], "species": ["Ho", "Ho", "Ni", "I"], "frac_coords": [[0.059, 0.059, 0.822], [0.275, 0.275, 0.176], [0.667, 0.667, 0.000], [0.499, 0.499, 0.503]], "space_group": "R3m (160)"}


Arrangement Q

{"formula": "Ho2NiI", "functional": "PBE", "state": "relaxed", "cell": [[3.540, 0.000, 0.000], [1.770, 3.066, 0.000], [1.770, 1.022, 10.114]], "species": ["I", "Ni", "Ho", "Ho"], "frac_coords": [[0.500, 0.500, 0.500], [0.000, 0.000, 0.000], [0.083, 0.083, 0.752], [0.917, 0.917, 0.248]], "space_group": "R-3m (166)"}


Stability verdict: arrangement P, ahead by 864 meV per atom


Arrangement P

{"formula": "HoI3O9", "functional": "PBE", "state": "relaxed", "cell": [[6.161, 0.000, 0.000], [0.000, 7.740, 0.000], [0.000, 0.000, 8.721]], "species": ["Ho", "Ho", "I", "I", "I", "I", "I", "I", "O", "O", "O", "O", "O", "O", "O", "O", "O", "O", "O", "O", "O", "O", "O", "O", "O", "O"], "frac_coords": [[0.000, 0.710, 0.500], [0.500, 0.290, 0.000], [0.500, 0.889, 0.690], [0.500, 0.889, 0.310], [0.000, 0.111, 0.810], [0.000, 0.111, 0.190], [0.000, 0.484, 0.000], [0.500, 0.516, 0.500], [0.698, 0.626, 0.644], [0.698, 0.626, 0.356], [0.302, 0.626, 0.644], [0.302, 0.626, 0.356], [0.802, 0.374, 0.856], [0.802, 0.374, 0.144], [0.198, 0.374, 0.856], [0.198, 0.374, 0.144], [0.000, 0.414, 0.500], [0.500, 0.586, 0.000], [0.303, 0.936, 0.500], [0.697, 0.936, 0.500], [0.197, 0.064, 0.000], [0.803, 0.064, 0.000], [0.000, 0.879, 0.745], [0.000, 0.879, 0.255], [0.500, 0.121, 0.755], [0.500, 0.121, 0.245]], "space_group": "Pmmn (59)"}


Arrangement Q

{"formula": "HoI3O9", "functional": "PBE", "state": "relaxed", "cell": [[6.274, 0.000, 0.000], [0.000, 8.800, 0.014], [0.000, 6.995, 15.240]], "species": ["Ho", "Ho", "Ho", "Ho", "I", "I", "I", "I", "I", "I", "I", "I", "I", "I", "I", "I", "O", "O", "O", "O", "O", "O", "O", "O", "O", "O", "O", "O", "O", "O", "O", "O", "O", "O", "O", "O", "O", "O", "O", "O", "O", "O", "O", "O", "O", "O", "O", "O", "O", "O", "O", "O"], "frac_coords": [[0.771, 0.849, 0.110], [0.229, 0.151, 0.890], [0.271, 0.151, 0.390], [0.729, 0.849, 0.610], [0.851, 0.350, 0.983], [0.294, 0.071, 0.141], [0.351, 0.650, 0.517], [0.649, 0.350, 0.483], [0.086, 0.586, 0.302], [0.414, 0.586, 0.802], [0.586, 0.414, 0.198], [0.206, 0.071, 0.641], [0.706, 0.929, 0.859], [0.149, 0.650, 0.017], [0.914, 0.414, 0.698], [0.794, 0.929, 0.359], [0.682, 0.651, 0.757], [0.342, 0.115, 0.026], [0.318, 0.349, 0.243], [0.666, 0.122, 0.528], [0.985, 0.635, 0.634], [0.478, 0.369, 0.390], [0.015, 0.365, 0.366], [0.842, 0.885, 0.474], [0.022, 0.369, 0.890], [0.443, 0.350, 0.563], [0.025, 0.068, 0.314], [0.557, 0.650, 0.437], [0.522, 0.631, 0.610], [0.166, 0.878, 0.972], [0.158, 0.115, 0.526], [0.515, 0.635, 0.134], [0.927, 0.337, 0.612], [0.943, 0.650, 0.937], [0.182, 0.349, 0.743], [0.334, 0.878, 0.472], [0.088, 0.904, 0.171], [0.588, 0.096, 0.329], [0.818, 0.651, 0.257], [0.658, 0.885, 0.974], [0.412, 0.904, 0.671], [0.834, 0.122, 0.028], [0.475, 0.068, 0.814], [0.573, 0.337, 0.112], [0.912, 0.096, 0.829], [0.427, 0.663, 0.888], [0.525, 0.932, 0.186], [0.057, 0.350, 0.063], [0.073, 0.663, 0.388], [0.978, 0.631, 0.110], [0.975, 0.932, 0.686], [0.485, 0.365, 0.866]], "space_group": "P2_1/c (14)"}


Stability verdict: arrangement Q, ahead by 488 meV per atom


Arrangement P

{"formula": "PmHo2I", "functional": "PBE", "state": "relaxed", "cell": [[-3.028, 1.733, -1.341], [-3.335, -1.679, 0.154], [-3.843, 4.303, 9.032]], "species": ["I", "Ho", "Ho", "Pm"], "frac_coords": [[0.000, 0.000, 0.000], [0.745, 0.745, 0.765], [0.255, 0.255, 0.235], [0.500, 0.500, 0.500]], "space_group": "R-3m (166)"}


Arrangement Q

{"formula": "PmHo2I", "functional": "PBE", "state": "relaxed", "cell": [[-2.755, 1.967, 1.646], [-3.346, -1.607, 0.626], [1.287, -3.119, 10.184]], "species": ["Pm", "Ho", "Ho", "I"], "frac_coords": [[0.500, 0.500, 0.501], [0.078, 0.078, 0.766], [0.256, 0.256, 0.233], [0.667, 0.667, 0.000]], "space_group": "R3m (160)"}


Stability verdict: arrangement P, ahead by 35 meV per atom


Arrangement P

{"formula": "PmHoI6", "functional": "PBE", "state": "relaxed", "cell": [[7.682, 0.010, 0.010], [3.833, 6.658, 0.013], [3.830, 2.212, 6.952]], "species": ["Pm", "Ho", "I", "I", "I", "I", "I", "I"], "frac_coords": [[0.000, 0.000, 0.000], [0.500, 0.500, 0.500], [0.093, 0.415, 0.747], [0.745, 0.094, 0.747], [0.585, 0.255, 0.253], [0.255, 0.906, 0.253], [0.907, 0.585, 0.253], [0.415, 0.745, 0.747]], "space_group": "R-3 (148)"}


Arrangement Q

{"formula": "PmHoI6", "functional": "PBE", "state": "relaxed", "cell": [[7.892, -0.871, -1.056], [-3.222, 7.257, -1.056], [0.923, 1.262, 7.572]], "species": ["Pm", "Ho", "I", "I", "I", "I", "I", "I"], "frac_coords": [[0.000, 0.000, 0.500], [0.000, 0.000, 0.000], [0.299, 0.997, 0.250], [0.997, 0.299, 0.250], [0.003, 0.701, 0.750], [0.701, 0.003, 0.750], [0.294, 0.294, 0.776], [0.706, 0.706, 0.224]], "space_group": "C2/m (12)"}


Stability verdict: arrangement Q, ahead by 41 meV per atom


Arrangement P

{"formula": "Pm2HoI", "functional": "PBE", "state": "relaxed", "cell": [[3.638, 0.000, 0.000], [1.819, 3.151, 0.000], [1.819, 1.050, 11.810]], "species": ["I", "Ho", "Pm", "Pm"], "frac_coords": [[0.500, 0.500, 0.500], [0.000, 0.000, 0.000], [0.095, 0.095, 0.716], [0.905, 0.905, 0.284]], "space_group": "R-3m (166)"}


Arrangement Q

{"formula": "Pm2HoI", "functional": "PBE", "state": "relaxed", "cell": [[3.813, 0.000, 0.000], [1.907, 3.302, 0.000], [1.907, 1.101, 10.623]], "species": ["Pm", "Pm", "Ho", "I"], "frac_coords": [[0.080, 0.080, 0.761], [0.254, 0.254, 0.238], [0.500, 0.500, 0.501], [0.667, 0.667, 0.000]], "space_group": "R3m (160)"}


Arrangement R

{"formula": "Pm2HoI", "functional": "PBE", "state": "relaxed", "cell": [[-1.433, -3.205, -1.116], [3.368, -1.491, -0.044], [-1.084, -2.720, 9.200]], "species": ["I", "Ho", "Pm", "Pm"], "frac_coords": [[0.500, 0.500, 0.000], [0.500, 0.500, 0.500], [0.000, 0.000, 0.757], [0.000, 0.000, 0.243]], "space_group": "P4/mmm (123)"}


Stability verdict: arrangement Q, ahead by 49 meV per atom


Arrangement P

{"formula": "PrHoI", "functional": "PBE", "state": "relaxed", "cell": [[5.603, 0.000, 0.000], [0.000, 3.742, 0.000], [0.000, 1.871, 9.690]], "species": ["Pr", "Pr", "Ho", "Ho", "I", "I"], "frac_coords": [[0.250, 0.131, 0.738], [0.750, 0.869, 0.262], [0.250, 0.470, 0.061], [0.750, 0.530, 0.939], [0.750, 0.691, 0.617], [0.250, 0.309, 0.383]], "space_group": "Cmcm (63)"}


Arrangement Q

{"formula": "PrHoI", "functional": "PBE", "state": "relaxed", "cell": [[-0.639, 2.090, 3.201], [-4.983, 1.267, -1.823], [0.734, -4.458, 3.058]], "species": ["Pr", "I", "Ho"], "frac_coords": [[0.615, 0.667, 0.333], [0.252, 0.333, 0.667], [0.133, 0.000, 0.000]], "space_group": "P3m1 (156)"}


Stability verdict: arrangement P, ahead by 265 meV per atom


Arrangement P

{"formula": "PrHo2I", "functional": "PBE", "state": "relaxed", "cell": [[-1.929, -3.217, -0.083], [1.524, -3.137, 1.383], [-4.211, 0.080, 9.915]], "species": ["Pr", "I", "Ho", "Ho"], "frac_coords": [[0.500, 0.500, 0.500], [0.000, 0.000, 0.000], [0.745, 0.745, 0.766], [0.255, 0.255, 0.234]], "space_group": "R-3m (166)"}


Arrangement Q

{"formula": "PrHo2I", "functional": "PBE", "state": "relaxed", "cell": [[-2.522, 0.349, 2.782], [-1.552, -3.075, 1.536], [6.455, -1.290, 8.570]], "species": ["Pr", "Ho", "Ho", "I"], "frac_coords": [[0.500, 0.500, 0.501], [0.077, 0.077, 0.769], [0.256, 0.256, 0.231], [0.667, 0.667, 0.000]], "space_group": "R3m (160)"}


Stability verdict: arrangement P, ahead by 47 meV per atom


Arrangement P

{"formula": "PrHoI2", "functional": "PBE", "state": "relaxed", "cell": [[-3.707, -0.722, -0.647], [-1.084, -1.663, -3.277], [-0.601, -9.633, 2.848]], "species": ["Pr", "Ho", "I", "I"], "frac_coords": [[0.502, 0.502, 0.494], [0.665, 0.665, 0.005], [0.081, 0.081, 0.756], [0.252, 0.252, 0.244]], "space_group": "R3m (160)"}


Arrangement Q

{"formula": "PrHoI2", "functional": "PBE", "state": "relaxed", "cell": [[-2.330, 2.635, -1.721], [-3.885, -0.253, 0.418], [-1.530, 7.028, 8.376]], "species": ["Pr", "I", "I", "Ho"], "frac_coords": [[0.500, 0.500, 0.500], [0.094, 0.094, 0.717], [0.906, 0.906, 0.283], [0.000, 0.000, 0.000]], "space_group": "R-3m (166)"}


Stability verdict: arrangement P, ahead by 40 meV per atom


Arrangement P

{"formula": "Ho2PtI", "functional": "PBE", "state": "relaxed", "cell": [[4.136, 0.000, 0.000], [2.068, 3.582, 0.000], [2.068, 1.194, 7.861]], "species": ["I", "Ho", "Ho", "Pt"], "frac_coords": [[0.500, 0.500, 0.500], [0.272, 0.272, 0.183], [0.728, 0.728, 0.817], [0.000, 0.000, 0.000]], "space_group": "R-3m (166)"}


Arrangement Q

{"formula": "Ho2PtI", "functional": "PBE", "state": "relaxed", "cell": [[4.149, 0.000, 0.000], [2.074, 3.593, 0.000], [2.074, 1.198, 7.923]], "species": ["Ho", "Ho", "Pt", "I"], "frac_coords": [[0.061, 0.061, 0.818], [0.274, 0.274, 0.177], [0.667, 0.667, 0.998], [0.498, 0.498, 0.507]], "space_group": "R3m (160)"}


Stability verdict: arrangement P, ahead by 19 meV per atom


Arrangement P

{"formula": "Ho2PuI", "functional": "PBE", "state": "relaxed", "cell": [[3.588, 0.000, 0.000], [0.000, 3.588, 0.000], [0.000, 0.000, 9.376]], "species": ["I", "Ho", "Ho", "Pu"], "frac_coords": [[0.500, 0.500, 0.500], [0.000, 0.000, 0.751], [0.000, 0.000, 0.249], [0.500, 0.500, 0.000]], "space_group": "P4/mmm (123)"}


Arrangement Q

{"formula": "Ho2PuI", "functional": "PBE", "state": "relaxed", "cell": [[-0.495, -0.463, -3.499], [1.896, -2.452, -1.759], [-7.652, -8.818, 0.436]], "species": ["I", "Ho", "Ho", "Pu"], "frac_coords": [[0.500, 0.500, 0.500], [0.094, 0.094, 0.717], [0.906, 0.906, 0.283], [0.000, 0.000, 0.000]], "space_group": "R-3m (166)"}


Stability verdict: arrangement P, ahead by 258 meV per atom


Arrangement P

{"formula": "Rb2HoI5", "functional": "PBE", "state": "relaxed", "cell": [[9.048, 0.001, 0.000], [0.001, 9.048, 0.000], [-4.524, -4.524, 5.290]], "species": ["Rb", "Rb", "Ho", "I", "I", "I", "I", "I"], "frac_coords": [[0.249, 0.749, 0.497], [0.749, 0.249, 0.497], [0.974, 0.974, 0.948], [0.795, 0.254, 0.049], [0.254, 0.254, 0.049], [0.795, 0.795, 0.049], [0.254, 0.795, 0.048], [0.708, 0.708, 0.417]], "space_group": "I4mm (107)"}


Arrangement Q

{"formula": "Rb2HoI5", "functional": "PBE", "state": "relaxed", "cell": [[-6.210, -3.531, -6.375], [-1.760, -7.690, 5.973], [-10.961, 7.554, 6.494]], "species": ["Rb", "Rb", "Rb", "Rb", "Rb", "Rb", "Rb", "Rb", "Ho", "Ho", "Ho", "Ho", "I", "I", "I", "I", "I", "I", "I", "I", "I", "I", "I", "I", "I", "I", "I", "I", "I", "I", "I", "I"], "frac_coords": [[0.409, 0.511, 0.831], [0.591, 0.489, 0.169], [0.909, 0.489, 0.669], [0.591, 0.011, 0.169], [0.091, 0.511, 0.331], [0.409, 0.989, 0.831], [0.091, 0.989, 0.331], [0.909, 0.011, 0.669], [0.425, 0.250, 0.506], [0.575, 0.750, 0.494], [0.925, 0.750, 0.994], [0.075, 0.250, 0.006], [0.095, 0.250, 0.514], [0.905, 0.750, 0.486], [0.595, 0.750, 0.986], [0.405, 0.250, 0.014], [0.332, 0.951, 0.557], [0.668, 0.049, 0.443], [0.832, 0.049, 0.943], [0.668, 0.451, 0.443], [0.168, 0.951, 0.057], [0.332, 0.549, 0.557], [0.168, 0.549, 0.057], [0.832, 0.451, 0.943], [0.135, 0.250, 0.804], [0.865, 0.750, 0.196], [0.635, 0.750, 0.696], [0.365, 0.250, 0.304], [0.584, 0.250, 0.686], [0.416, 0.750, 0.314], [0.084, 0.750, 0.814], [0.916, 0.250, 0.186]], "space_group": "Pnma (62)"}


Stability verdict: arrangement Q, ahead by 45 meV per atom